Sr2B2O5, relaxed, DFT GGA-PBEsol; calculated volume = 13.53 A^3/atom; total energy = -277.73 eV per cell; uncorrected formation energy = -2458 kJ/mol of formula units; size of the total moment = 0.0 Bohr magnetons per cell; symmetry = P2_1/c (14)
1.0
7.716 0.000 0.000
0.000 5.323 0.000
-0.612 0.000 11.857
Sr B O
8 8 20
direct
0.118 0.047 0.368
0.118 0.453 0.868
0.375 0.589 0.161
0.375 0.911 0.661
0.625 0.089 0.339
0.625 0.411 0.839
0.882 0.547 0.132
0.882 0.953 0.632
0.160 0.046 0.084
0.160 0.454 0.584
0.341 0.570 0.405
0.341 0.930 0.905
0.659 0.070 0.095
0.659 0.430 0.595
0.840 0.546 0.416
0.840 0.954 0.916
0.099 0.597 0.669
0.099 0.903 0.169
0.146 0.200 0.571
0.146 0.300 0.071
0.254 0.605 0.506
0.254 0.895 0.006
0.358 0.155 0.852
0.358 0.345 0.352
0.393 0.711 0.857
0.393 0.789 0.357
0.607 0.211 0.643
0.607 0.289 0.143
0.642 0.655 0.648
0.642 0.845 0.148
0.746 0.105 0.994
0.746 0.395 0.494
0.854 0.700 0.929
0.854 0.800 0.429
0.901 0.097 0.831
0.901 0.403 0.331